1.
PBE K2PmTeO6, relaxed; formation energy (no corrections) = -1.85 eV/atom; M_tot = 1.04 μB per formula unit; space-group type = Fm-3m, No. 225; mass density = 4.77 g/cm3; volume = 15.56 Å³/atom
1.0
6.0378 0.0000 0.0000
0.0000 6.0381 0.0000
0.0000 0.0000 8.5382
K Pm Te O
4 2 2 12
Cartesian
3.0189 4.5301 2.1343
0.0000 1.5080 6.4034
3.0189 4.5301 6.4039
0.0000 1.5080 2.1348
0.0000 4.5276 4.2691
3.0189 1.5104 0.0000
3.0189 1.5090 4.2691
0.0000 4.5290 0.0000
3.0189 1.5089 2.3229
3.0189 1.5089 6.2153
0.0000 4.5292 1.9462
0.0000 4.5292 6.5920
1.6431 0.1328 4.2691
4.3947 0.1328 4.2691
1.6429 2.8847 4.2691
4.3949 2.8847 4.2691
4.6618 3.1533 0.0000
1.3760 3.1533 0.0000
1.3758 5.9052 0.0000
4.6620 5.9052 0.0000

2.
PBE K2Pm2TeO6, relaxed; formation energy (no corrections) = -2.19 eV/atom; M_tot = 0.00 μB per formula unit; space-group type = C2/m, No. 12; mass density = 4.74 g/cm3; volume = 18.85 Å³/atom
1.0
-4.8162 -1.4752 3.4522
0.1047 -1.6003 -5.8922
4.2471 -4.6012 2.2982
K Pm Te O
2 2 1 6
Cartesian
-4.0222 -1.4954 1.9446
-0.6892 -1.5802 -4.3845
0.5792 -3.8590 -1.6116
-1.0436 -3.8178 1.4699
2.1235 -2.3006 1.1491
-0.6370 -5.4218 -0.2628
2.6852 -3.7837 -0.4716
0.1726 -2.2550 0.1211
1.0888 -3.7431 2.5599
-3.1496 -3.8931 0.3299
-1.5531 -3.9337 -2.7016

Q: Which of these has the highest formation energy (no corrections)?
A: K2PmTeO6

Repeat the first record exactly.
PBE K2PmTeO6, relaxed; formation energy (no corrections) = -1.85 eV/atom; M_tot = 1.04 μB per formula unit; space-group type = Fm-3m, No. 225; mass density = 4.77 g/cm3; volume = 15.56 Å³/atom
1.0
6.0378 0.0000 0.0000
0.0000 6.0381 0.0000
0.0000 0.0000 8.5382
K Pm Te O
4 2 2 12
Cartesian
3.0189 4.5301 2.1343
0.0000 1.5080 6.4034
3.0189 4.5301 6.4039
0.0000 1.5080 2.1348
0.0000 4.5276 4.2691
3.0189 1.5104 0.0000
3.0189 1.5090 4.2691
0.0000 4.5290 0.0000
3.0189 1.5089 2.3229
3.0189 1.5089 6.2153
0.0000 4.5292 1.9462
0.0000 4.5292 6.5920
1.6431 0.1328 4.2691
4.3947 0.1328 4.2691
1.6429 2.8847 4.2691
4.3949 2.8847 4.2691
4.6618 3.1533 0.0000
1.3760 3.1533 0.0000
1.3758 5.9052 0.0000
4.6620 5.9052 0.0000

What did the first record say?
PBE K2PmTeO6, relaxed; formation energy (no corrections) = -1.85 eV/atom; M_tot = 1.04 μB per formula unit; space-group type = Fm-3m, No. 225; mass density = 4.77 g/cm3; volume = 15.56 Å³/atom
1.0
6.0378 0.0000 0.0000
0.0000 6.0381 0.0000
0.0000 0.0000 8.5382
K Pm Te O
4 2 2 12
Cartesian
3.0189 4.5301 2.1343
0.0000 1.5080 6.4034
3.0189 4.5301 6.4039
0.0000 1.5080 2.1348
0.0000 4.5276 4.2691
3.0189 1.5104 0.0000
3.0189 1.5090 4.2691
0.0000 4.5290 0.0000
3.0189 1.5089 2.3229
3.0189 1.5089 6.2153
0.0000 4.5292 1.9462
0.0000 4.5292 6.5920
1.6431 0.1328 4.2691
4.3947 0.1328 4.2691
1.6429 2.8847 4.2691
4.3949 2.8847 4.2691
4.6618 3.1533 0.0000
1.3760 3.1533 0.0000
1.3758 5.9052 0.0000
4.6620 5.9052 0.0000